{"formula": "AcMgIn", "functional": "PBE-GGA", "state": "relaxed", "cell": [[-3.985, 3.250, -0.249], [-3.260, 0.384, 3.966], [2.543, 7.555, 4.701]], "species": ["Mg", "Mg", "In", "In", "Ac", "Ac"], "frac_coords": [[0.416, 0.416, 0.753], [0.595, 0.595, 0.215], [0.291, 0.291, 0.128], [0.761, 0.761, 0.717], [0.010, 0.010, 0.970], [0.167, 0.167, 0.498]], "sg": "R3m", "relative_energy_ev_per_atom": 0.151, "vol_a3_per_atom": 33.53, "delta_e_f_ev_per_fu": -0.7, "energy_ev_per_atom": -3.05}